## i
Here is crystalline CsRbIn2 at its relaxed geometry from the Alexandria database. Energies are from PBE-GGA.

Cell: 7.677 5.144 10.903 Å, 90.00 109.63 90.00°
Space group P2_1/m (No. 11)
Asymmetric unit:
Cs 0.244 0.250 0.441 (multiplicity 2)
Rb 0.341 0.750 0.839 (multiplicity 2)
In 0.122 0.250 0.025 (multiplicity 2)
In 0.273 0.750 0.186 (multiplicity 2)

Density of states at the Fermi level = 1.79 states/eV/f.u.

***

## ii
Here is crystalline CsRbIn2 at its relaxed geometry from the Alexandria database. Energies are from PBE-GGA.

Cell: 9.033 9.033 9.033 Å, 90.00 90.00 90.00°
Space group Fm-3m (No. 225)
Asymmetric unit:
Cs 0.000 0.000 0.000 (multiplicity 4)
Rb 0.000 0.000 0.500 (multiplicity 4)
In 0.250 0.250 0.250 (multiplicity 8)

Density of states at the Fermi level = 3.17 states/eV/f.u.

***

## iii
Here is crystalline CsRbIn2 at its relaxed geometry from the Alexandria database. Energies are from PBE-GGA.

Cell: 6.718 8.988 7.285 Å, 90.00 117.40 90.00°
Space group P2_1/m (No. 11)
Asymmetric unit:
Cs 0.097 0.250 0.192 (multiplicity 2)
Rb 0.228 0.750 0.458 (multiplicity 2)
In 0.412 0.091 0.822 (multiplicity 4)

Density of states at the Fermi level = 1.80 states/eV/f.u.

***

Relative energies, in kJ/mol of atoms, with the most stable structure set to zero: i 0.0; ii 22.7; iii 1.7.

***

## i
Here is crystalline CsRb2In2 at its relaxed geometry from the Alexandria database. Energies are from PBE-GGA.

Cell: 10.996 10.996 4.260 Å, 90.00 90.00 90.00°
Space group P4/mbm (No. 127)
Asymmetric unit:
Cs 0.000 0.000 0.000 (multiplicity 2)
Rb 0.186 0.314 0.000 (multiplicity 4)
In 0.095 0.595 0.500 (multiplicity 4)

Density of states at the Fermi level = 4.78 states/eV/f.u.

***

## ii
Here is crystalline CsRb2In2 at its relaxed geometry from the Alexandria database. Energies are from PBE-GGA.

Cell: 10.433 10.433 5.021 Å, 90.00 90.00 90.00°
Space group P4/mbm (No. 127)
Asymmetric unit:
Cs 0.000 0.000 0.000 (multiplicity 2)
Rb 0.182 0.318 0.500 (multiplicity 4)
In 0.098 0.598 0.000 (multiplicity 4)

Density of states at the Fermi level = 4.33 states/eV/f.u.

***

## iii
Here is crystalline CsRb2In2 at its relaxed geometry from the Alexandria database. Energies are from PBE-GGA.

Cell: 4.507 4.507 30.329 Å, 90.00 90.00 90.00°
Space group I4/mmm (No. 139)
Asymmetric unit:
Cs 0.000 0.000 0.000 (multiplicity 2)
Rb 0.000 0.000 0.356 (multiplicity 4)
In 0.000 0.500 0.250 (multiplicity 4)

Density of states at the Fermi level = 3.07 states/eV/f.u.

***

## iv
Here is crystalline CsRb2In2 at its relaxed geometry from the Alexandria database. Energies are from PBE-GGA.

Cell: 15.287 5.219 7.410 Å, 90.00 101.36 90.00°
Space group C2/m (No. 12)
Asymmetric unit:
Cs 0.000 0.000 0.000 (multiplicity 2)
Rb 0.149 0.500 0.558 (multiplicity 4)
In 0.236 0.500 0.078 (multiplicity 4)

Density of states at the Fermi level = 3.63 states/eV/f.u.

***

Relative energies, in kJ/mol of atoms, with the most stable structure set to zero: i 12.8; ii 7.9; iii 8.5; iv 0.0.

***

## i
Here is crystalline CsRb2In at its relaxed geometry from the Alexandria database. Energies are from PBE-GGA.

Cell: 6.045 6.045 29.136 Å, 90.00 90.00 90.00°
Space group I-42d (No. 122)
Asymmetric unit:
Cs 0.000 0.000 0.000 (multiplicity 4)
Rb 0.220 0.250 0.625 (multiplicity 8)
In 0.000 0.000 0.500 (multiplicity 4)

Density of states at the Fermi level = 2.55 states/eV/f.u.

***

## ii
Here is crystalline CsRb2In at its relaxed geometry from the Alexandria database. Energies are from PBE-GGA.

Cell: 6.296 6.296 6.302 Å, 90.00 90.00 90.00°
Space group P4/mmm (No. 123)
Asymmetric unit:
Cs 0.000 0.000 0.000 (multiplicity 1)
Rb 0.000 0.500 0.500 (multiplicity 2)
In 0.500 0.500 0.000 (multiplicity 1)

Density of states at the Fermi level = 4.09 states/eV/f.u.

***

Relative energies, in kJ/mol of atoms, with the most stable structure set to zero: i 5.3; ii 0.0.